DFT (PBE) results for a relaxed structure of MgFeSb2.

```
MgFeSb2
1.0
4.697 0.000 0.000
0.000 4.697 0.000
0.000 0.000 3.800
Mg Fe Sb
1 1 2
Cartesian
0.000 0.000 0.000
2.349 2.349 0.000
0.000 2.349 1.900
2.349 0.000 1.900
```

Summary:
The polymorph energy (0 for the lowest one) is 218 meV per atom. As for the space group: P4/mmm. As for the uncorrected formation energy: 1.0 eV per formula unit.